Sr3HfB at its PBEsol-relaxed geometry, computed with meta-GGA SCAN.

Values from the calculation:
calculated total energy: -25.54 eV/atom
volume: 205.37 Å³ per cell
energy of formation from the pure elements: 1.844 eV per atom
size of the total moment: 1.55 μB/cell

extended XYZ file:
```
5
Lattice="5.900 0.000 0.000 0.000 5.900 0.000 0.000 0.000 5.900" Properties=species:S:1:pos:R:3 pbc="T T T"
Sr 0.000 0.000 2.950
Sr 0.000 2.950 0.000
Sr 2.950 0.000 0.000
Hf 0.000 0.000 0.000
B 2.950 2.950 2.950
```